[1]
Below is an optimized crystal structure of KTeAs2S8, with properties calculated at the PBE level.

abc: 10.589 10.589 10.589
angles: 33.70 33.70 33.70
Element x y z (fractional)
K 0.000 0.000 0.000
Te 0.500 0.500 0.500
As 0.241 0.241 0.241
As 0.759 0.759 0.759
S 0.114 0.807 0.417
S 0.193 0.583 0.886
S 0.313 0.313 0.313
S 0.417 0.114 0.807
S 0.583 0.886 0.193
S 0.687 0.687 0.687
S 0.807 0.417 0.114
S 0.886 0.193 0.583

Output
Symmetry   R-3
Size of the total moment   0.000 μB per formula unit
Formation energy (no corrections)   -15 meV/atom
E_tot   -3.895 eV/atom

***

[2]
Below is an optimized crystal structure of K2TiAsS5, with properties calculated at the PBE level.

abc: 9.405 9.405 13.179
angles: 90.00 90.00 155.55
Element x y z (fractional)
K 0.127 0.873 0.500
K 0.130 0.870 0.863
K 0.870 0.130 0.363
K 0.873 0.127 0.000
Ti 0.209 0.791 0.215
Ti 0.791 0.209 0.715
As 0.433 0.567 0.610
As 0.567 0.433 0.110
S 0.059 0.941 0.201
S 0.304 0.696 0.822
S 0.312 0.688 0.577
S 0.326 0.674 0.182
S 0.490 0.510 0.467
S 0.510 0.490 0.967
S 0.674 0.326 0.682
S 0.688 0.312 0.077
S 0.696 0.304 0.322
S 0.941 0.059 0.701

Output
Symmetry   Cmc2_1
Size of the total moment   0.000 μB per formula unit
Formation energy (no corrections)   -881 meV/atom
E_tot   -4.811 eV/atom

***

[3]
Below is an optimized crystal structure of K2TiAsS4, with properties calculated at the PBE level.

abc: 12.935 11.659 7.291
angles: 82.64 63.37 33.99
Element x y z (fractional)
K 0.058 0.058 0.692
K 0.308 0.308 0.942
K 0.692 0.692 0.058
K 0.942 0.942 0.308
Ti 0.125 0.125 0.125
Ti 0.875 0.875 0.875
As 0.375 0.375 0.375
As 0.625 0.625 0.625
S 0.066 0.301 0.371
S 0.238 0.629 0.699
S 0.301 0.066 0.762
S 0.371 0.762 0.066
S 0.629 0.238 0.934
S 0.699 0.934 0.238
S 0.762 0.371 0.301
S 0.934 0.699 0.629

Output
Symmetry   Fddd
Size of the total moment   1.049 μB per formula unit
Formation energy (no corrections)   -844 meV/atom
E_tot   -4.750 eV/atom

***

[4]
Below is an optimized crystal structure of K2TlAsS4, with properties calculated at the PBE level.

abc: 13.260 11.639 7.797
angles: 83.53 60.71 35.75
Element x y z (fractional)
K 0.059 0.059 0.691
K 0.309 0.309 0.941
K 0.691 0.691 0.059
K 0.941 0.941 0.309
Tl 0.125 0.125 0.125
Tl 0.875 0.875 0.875
As 0.375 0.375 0.375
As 0.625 0.625 0.625
S 0.030 0.333 0.431
S 0.294 0.569 0.667
S 0.333 0.030 0.706
S 0.431 0.706 0.030
S 0.569 0.294 0.970
S 0.667 0.970 0.294
S 0.706 0.431 0.333
S 0.970 0.667 0.569

Output
Symmetry   Fddd
Size of the total moment   0.000 μB per formula unit
Formation energy (no corrections)   -453 meV/atom
E_tot   -3.668 eV/atom

***

[5]
Below is an optimized crystal structure of K2TmAsS4, with properties calculated at the PBE level.

abc: 8.188 8.188 8.188
angles: 120.14 119.87 89.99
Element x y z (fractional)
K 0.000 0.000 0.000
K 0.500 0.000 0.000
K 0.500 0.000 0.500
K 0.500 0.500 0.500
Tm 0.000 0.500 0.500
Tm 0.500 0.500 0.000
As 0.000 0.000 0.500
As 0.000 0.500 0.000
S 0.198 0.735 0.462
S 0.227 0.265 0.962
S 0.230 0.260 0.529
S 0.230 0.701 0.971
S 0.770 0.299 0.029
S 0.770 0.740 0.471
S 0.773 0.735 0.038
S 0.802 0.265 0.538

Output
Symmetry   Imma
Size of the total moment   0.000 μB per formula unit
Formation energy (no corrections)   -1152 meV/atom
E_tot   -4.630 eV/atom

***

[6]
Below is an optimized crystal structure of K3UAs2S8, with properties calculated at the PBE level.

abc: 7.431 7.431 8.879
angles: 90.00 90.00 120.00
Element x y z (fractional)
K 0.000 0.000 0.000
K 0.333 0.667 0.642
K 0.667 0.333 0.358
U 0.000 0.000 0.500
As 0.333 0.667 0.234
As 0.667 0.333 0.766
S 0.155 0.309 0.320
S 0.155 0.845 0.320
S 0.309 0.155 0.680
S 0.333 0.667 0.997
S 0.667 0.333 0.003
S 0.691 0.845 0.320
S 0.845 0.155 0.680
S 0.845 0.691 0.680

Output
Symmetry   P-3m1
Size of the total moment   0.000 μB per formula unit
Formation energy (no corrections)   -701 meV/atom
E_tot   -4.765 eV/atom

***

[7]
Below is an optimized crystal structure of K2UAsS5, with properties calculated at the PBE level.

abc: 9.190 9.190 14.095
angles: 90.00 90.00 153.63
Element x y z (fractional)
K 0.100 0.900 0.500
K 0.134 0.866 0.161
K 0.866 0.134 0.661
K 0.900 0.100 0.000
U 0.208 0.792 0.880
U 0.792 0.208 0.380
As 0.451 0.549 0.274
As 0.549 0.451 0.774
S 0.065 0.935 0.893
S 0.282 0.718 0.497
S 0.319 0.681 0.255
S 0.342 0.658 0.837
S 0.493 0.507 0.129
S 0.507 0.493 0.629
S 0.658 0.342 0.337
S 0.681 0.319 0.755
S 0.718 0.282 0.997
S 0.935 0.065 0.393

Output
Symmetry   Cmc2_1
Size of the total moment   1.000 μB per formula unit
Formation energy (no corrections)   -981 meV/atom
E_tot   -5.289 eV/atom

***

[8]
Below is an optimized crystal structure of K2U2AsS2, with properties calculated at the PBE level.

abc: 5.358 5.358 15.981
angles: 90.00 90.00 90.00
Element x y z (fractional)
K 0.000 0.000 0.204
K 0.000 0.000 0.796
K 0.500 0.500 0.296
K 0.500 0.500 0.704
U 0.000 0.500 0.000
U 0.000 0.500 0.500
U 0.500 0.000 0.000
U 0.500 0.000 0.500
As 0.000 0.000 0.000
As 0.500 0.500 0.500
S 0.000 0.000 0.401
S 0.000 0.000 0.599
S 0.500 0.500 0.099
S 0.500 0.500 0.901

Output
Symmetry   I4/mmm
Size of the total moment   6.287 μB per formula unit
Formation energy (no corrections)   -502 meV/atom
E_tot   -5.884 eV/atom

***

[9]
Below is an optimized crystal structure of K2ZrAsS5, with properties calculated at the PBE level.

abc: 9.474 9.474 13.370
angles: 90.00 90.00 155.15
Element x y z (fractional)
K 0.125 0.875 0.500
K 0.126 0.874 0.851
K 0.874 0.126 0.351
K 0.875 0.125 0.000
Zr 0.207 0.793 0.209
Zr 0.793 0.207 0.709
As 0.436 0.564 0.598
As 0.564 0.436 0.098
S 0.052 0.948 0.184
S 0.306 0.694 0.824
S 0.316 0.684 0.568
S 0.331 0.669 0.175
S 0.491 0.509 0.456
S 0.509 0.491 0.956
S 0.669 0.331 0.675
S 0.684 0.316 0.068
S 0.694 0.306 0.324
S 0.948 0.052 0.684

Output
Symmetry   Cmc2_1
Size of the total moment   0.000 μB per formula unit
Formation energy (no corrections)   -990 meV/atom
E_tot   -4.993 eV/atom

***

[10]
Below is an optimized crystal structure of K2ZrAs2S6, with properties calculated at the PBE level.

abc: 6.397 6.397 8.191
angles: 106.46 106.46 66.88
Element x y z (fractional)
K 0.189 0.189 0.123
K 0.811 0.811 0.877
Zr 0.000 0.000 0.500
As 0.413 0.413 0.774
As 0.587 0.587 0.226
S 0.202 0.710 0.246
S 0.244 0.244 0.525
S 0.290 0.798 0.754
S 0.710 0.202 0.246
S 0.756 0.756 0.475
S 0.798 0.290 0.754

Output
Symmetry   C2/m
Size of the total moment   0.000 μB per formula unit
Formation energy (no corrections)   -799 meV/atom
E_tot   -4.873 eV/atom

***

[11]
Below is an optimized crystal structure of K2ZrAsS, with properties calculated at the PBE level.

abc: 7.059 7.059 4.808
angles: 90.00 90.00 90.00
Element x y z (fractional)
K 0.000 0.500 0.000
K 0.500 0.000 0.000
Zr 0.000 0.000 0.000
As 0.500 0.500 0.500
S 0.000 0.000 0.500

Output
Symmetry   P4/mmm
Size of the total moment   3.425 μB per formula unit
Formation energy (no corrections)   367 meV/atom
E_tot   -3.537 eV/atom

***

[12]
Below is an optimized crystal structure of K2SbAs2, with properties calculated at the PBE level.

abc: 3.739 3.739 22.065
angles: 90.00 90.00 90.00
Element x y z (fractional)
K 0.000 0.000 0.113
K 0.000 0.000 0.887
K 0.500 0.500 0.387
K 0.500 0.500 0.613
Sb 0.000 0.000 0.500
Sb 0.500 0.500 0.000
As 0.000 0.500 0.250
As 0.000 0.500 0.750
As 0.500 0.000 0.250
As 0.500 0.000 0.750

Output
Symmetry   I4/mmm
Size of the total moment   0.000 μB per formula unit
Formation energy (no corrections)   -204 meV/atom
E_tot   -3.327 eV/atom

***

[13]
Below is an optimized crystal structure of K2SbAs, with properties calculated at the PBE level.

abc: 4.142 10.373 6.700
angles: 90.00 90.00 90.00
Element x y z (fractional)
K 0.250 0.047 0.238
K 0.250 0.453 0.238
K 0.750 0.547 0.762
K 0.750 0.953 0.762
Sb 0.250 0.250 0.714
Sb 0.750 0.750 0.286
As 0.250 0.750 0.021
As 0.750 0.250 0.979

Output
Symmetry   Pmmn
Size of the total moment   0.000 μB per formula unit
Formation energy (no corrections)   -400 meV/atom
E_tot   -3.141 eV/atom

***

[14]
Below is an optimized crystal structure of K2SbAs, with properties calculated at the PBE level.

abc: 3.242 5.318 6.702
angles: 90.00 90.56 90.00
Element x y z (fractional)
K 0.001 0.000 0.260
K 0.999 0.000 0.740
Sb 0.500 0.500 0.000
As 0.500 0.500 0.500

Output
Symmetry   P2/m
Size of the total moment   0.000 μB per formula unit
Formation energy (no corrections)   -197 meV/atom
E_tot   -2.939 eV/atom

***

[15]
Below is an optimized crystal structure of K2SbAs, with properties calculated at the PBE level.

abc: 8.013 8.013 8.013
angles: 90.00 90.00 90.00
Element x y z (fractional)
K 0.250 0.250 0.250
K 0.250 0.250 0.750
K 0.250 0.750 0.250
K 0.250 0.750 0.750
K 0.750 0.250 0.250
K 0.750 0.250 0.750
K 0.750 0.750 0.250
K 0.750 0.750 0.750
Sb 0.000 0.000 0.000
Sb 0.000 0.500 0.500
Sb 0.500 0.000 0.500
Sb 0.500 0.500 0.000
As 0.000 0.000 0.500
As 0.000 0.500 0.000
As 0.500 0.000 0.000
As 0.500 0.500 0.500

Output
Symmetry   Fm-3m
Size of the total moment   0.000 μB per formula unit
Formation energy (no corrections)   29 meV/atom
E_tot   -2.712 eV/atom

***

[16]
Below is an optimized crystal structure of K2SbAs, with properties calculated at the PBE level.

abc: 5.189 5.189 9.312
angles: 90.00 90.00 90.00
Element x y z (fractional)
K 0.000 0.000 0.000
K 0.000 0.500 0.250
K 0.500 0.000 0.750
K 0.500 0.500 0.500
Sb 0.000 0.500 0.750
Sb 0.500 0.000 0.250
As 0.000 0.000 0.500
As 0.500 0.500 0.000

Output
Symmetry   I-4m2
Size of the total moment   0.000 μB per formula unit
Formation energy (no corrections)   -61 meV/atom
E_tot   -2.803 eV/atom

***

[17]
Below is an optimized crystal structure of KSbAs, with properties calculated at the PBE level.

abc: 4.803 4.803 5.252
angles: 90.00 90.00 120.00
Element x y z (fractional)
K 0.000 0.000 0.000
Sb 0.333 0.667 0.497
As 0.667 0.333 0.509

Output
Symmetry   P3m1
Size of the total moment   0.000 μB per formula unit
Formation energy (no corrections)   -245 meV/atom
E_tot   -3.535 eV/atom

***

[18]
Below is an optimized crystal structure of K2SbAs, with properties calculated at the PBE level.

abc: 12.160 5.466 4.347
angles: 90.00 90.11 90.00
Element x y z (fractional)
K 0.000 0.000 0.000
K 0.228 0.500 0.497
K 0.500 0.500 0.000
K 0.728 0.000 0.497
Sb 0.302 0.000 0.998
Sb 0.802 0.500 0.998
As 0.437 0.000 0.499
As 0.937 0.500 0.499

Output
Symmetry   Cm
Size of the total moment   0.000 μB per formula unit
Formation energy (no corrections)   -415 meV/atom
E_tot   -3.157 eV/atom

***

[19]
Below is an optimized crystal structure of KSb3As, with properties calculated at the PBE level.

abc: 5.551 5.551 5.551
angles: 90.00 90.00 90.00
Element x y z (fractional)
K 0.000 0.000 0.000
Sb 0.000 0.500 0.500
Sb 0.500 0.000 0.500
Sb 0.500 0.500 0.000
As 0.500 0.500 0.500

Output
Symmetry   Pm-3m
Size of the total moment   0.000 μB per formula unit
Formation energy (no corrections)   280 meV/atom
E_tot   -3.343 eV/atom

***

[20]
Below is an optimized crystal structure of K2SbAs, with properties calculated at the PBE level.

abc: 3.926 3.926 10.079
angles: 90.00 90.00 90.00
Element x y z (fractional)
K 0.000 0.000 0.000
K 0.500 0.500 0.422
Sb 0.000 0.000 0.666
As 0.500 0.500 0.760

Output
Symmetry   P4mm
Size of the total moment   0.000 μB per formula unit
Formation energy (no corrections)   -191 meV/atom
E_tot   -2.933 eV/atom